Entry 1:
Computed, not measured: a geometry-optimized InCo2P structure at the PBEsol level of DFT.

Structure (POSCAR):
```
InCo2P
1.0
-1.6652 2.3455 3.4371
1.6652 -2.3455 3.4371
1.6652 2.3455 -3.4371
In Co P
1 2 1
Direct
0.0000 0.0000 0.0000
0.3080 0.8080 0.5000
0.6920 0.1920 0.5000
0.5000 0.5000 0.0000
```

## Properties
symmetry = Immm (71)
formation energy from the elements = -67 meV per atom

Entry 2:
Computed, not measured: a geometry-optimized InCo2P structure at the PBEsol level of DFT.

Structure (POSCAR):
```
InCo2P
1.0
0.0000 3.0103 3.0103
3.0103 0.0000 3.0103
3.0103 3.0103 0.0000
In Co P
1 2 1
Direct
0.0000 0.0000 0.0000
0.2500 0.2500 0.2500
0.5000 0.5000 0.5000
0.7500 0.7500 0.7500
```

## Properties
symmetry = F-43m (216)
formation energy from the elements = 487 meV per atom

Entry 3:
Computed, not measured: a geometry-optimized InCoP2 structure at the PBEsol level of DFT.

Structure (POSCAR):
```
InCoP2
1.0
-1.5755 2.4897 3.8660
1.5755 -2.4897 3.8660
1.5755 2.4897 -3.8660
In Co P
1 1 2
Direct
0.0000 0.0000 0.0000
0.2895 0.7895 0.5000
0.4864 0.4864 0.0000
0.7100 0.2100 0.5000
```

## Properties
symmetry = Imm2 (44)
formation energy from the elements = 322 meV per atom

Entry 4:
Computed, not measured: a geometry-optimized In2Co2P structure at the PBEsol level of DFT.

Structure (POSCAR):
```
In2Co2P
1.0
-1.6544 1.6544 7.6557
1.6544 -1.6544 7.6557
1.6544 1.6544 -7.6557
In Co P
2 2 1
Direct
0.1085 0.1085 0.0000
0.8915 0.8915 0.0000
0.2500 0.7500 0.5000
0.7500 0.2500 0.5000
0.5000 0.5000 0.0000
```

## Properties
symmetry = I4/mmm (139)
formation energy from the elements = 364 meV per atom

Entry 5:
Computed, not measured: a geometry-optimized InCoP2 structure at the PBEsol level of DFT.

Structure (POSCAR):
```
InCoP2
1.0
-2.1048 2.1048 3.3857
2.1048 -2.1048 3.3857
2.1048 2.1048 -3.3857
In Co P
1 1 2
Direct
0.0000 0.0000 0.0000
0.5000 0.5000 0.0000
0.2500 0.7500 0.5000
0.7500 0.2500 0.5000
```

## Properties
symmetry = I4/mmm (139)
formation energy from the elements = 452 meV per atom

Entry 6:
Computed, not measured: a geometry-optimized InCo2P structure at the PBEsol level of DFT.

Structure (POSCAR):
```
InCo2P
1.0
-1.3940 1.5773 6.1925
1.3940 -1.5773 6.1925
1.3940 1.5773 -6.1925
In Co P
1 2 1
Direct
0.0000 0.0000 0.0000
0.6366 0.6366 0.0000
0.8134 0.3134 0.5000
0.2540 0.7540 0.5000
```

## Properties
symmetry = Imm2 (44)
formation energy from the elements = -246 meV per atom

Entry 7:
Computed, not measured: a geometry-optimized InCo2P structure at the PBEsol level of DFT.

Structure (POSCAR):
```
InCo2P
1.0
-3.2215 3.2215 2.7117
3.2215 -3.2215 2.7117
3.2215 3.2215 -2.7117
In Co P
2 4 2
Direct
0.0000 0.0000 0.0000
0.7500 0.2500 0.5000
0.2011 0.1250 0.5761
0.3750 0.7989 0.9239
0.5489 0.6250 0.4239
0.8750 0.4511 0.0761
0.2500 0.7500 0.5000
0.5000 0.5000 0.0000
```

## Properties
symmetry = I-42d (122)
formation energy from the elements = -22 meV per atom

Entry 8:
Computed, not measured: a geometry-optimized In2CoP structure at the PBEsol level of DFT.

Structure (POSCAR):
```
In2CoP
1.0
0.0000 3.2568 3.2568
3.2568 0.0000 3.2568
3.2568 3.2568 0.0000
In Co P
2 1 1
Direct
0.0000 0.0000 0.0000
0.2500 0.2500 0.2500
0.7500 0.7500 0.7500
0.5000 0.5000 0.5000
```

## Properties
symmetry = F-43m (216)
formation energy from the elements = 516 meV per atom

Entry 9:
Computed, not measured: a geometry-optimized In2CoP structure at the PBEsol level of DFT.

Structure (POSCAR):
```
In2CoP
1.0
-1.9841 1.9841 4.3101
1.9841 -1.9841 4.3101
1.9841 1.9841 -4.3101
In Co P
2 1 1
Direct
0.0000 0.0000 0.0000
0.7500 0.2500 0.5000
0.2500 0.7500 0.5000
0.5000 0.5000 0.0000
```

## Properties
symmetry = I-4m2 (119)
formation energy from the elements = 399 meV per atom

Entry 10:
Computed, not measured: a geometry-optimized InCoP2S structure at the PBEsol level of DFT.

Structure (POSCAR):
```
InCoP2S
1.0
4.9030 0.0000 0.0000
0.0000 4.9030 0.0000
0.0000 0.0000 4.9077
In Co P S
1 1 2 1
Direct
0.0000 0.0000 0.0000
0.5000 0.5000 0.5000
0.0000 0.5000 0.0000
0.5000 0.0000 0.0000
0.0000 0.0000 0.5000
```

## Properties
symmetry = P4/mmm (123)
uncorrected formation energy = 1596 meV/atom

Entry 11:
Computed, not measured: a geometry-optimized In2CoPb structure at the PBEsol level of DFT.

Structure (POSCAR):
```
In2CoPb
1.0
-1.5123 2.1666 6.5618
1.5123 -2.1666 6.5618
1.5123 2.1666 -6.5618
In Co Pb
2 1 1
Direct
0.0000 0.0000 0.0000
0.6698 0.1698 0.5000
0.5017 0.5017 0.0000
0.3188 0.8188 0.5000
```

## Properties
symmetry = Imm2 (44)
formation energy from the elements = 125 meV per atom

Entry 12:
Computed, not measured: a geometry-optimized In2CoPb structure at the PBEsol level of DFT.

Structure (POSCAR):
```
In2CoPb
1.0
-2.1494 2.1494 4.5283
2.1494 -2.1494 4.5283
2.1494 2.1494 -4.5283
In Co Pb
2 1 1
Direct
0.2500 0.7500 0.5000
0.7500 0.2500 0.5000
0.0000 0.0000 0.0000
0.5000 0.5000 0.0000
```

## Properties
symmetry = I4/mmm (139)
formation energy from the elements = 458 meV per atom

Entry 13:
Computed, not measured: a geometry-optimized InCo2RuPb structure at the PBEsol level of DFT.

Structure (POSCAR):
```
InCo2RuPb
1.0
4.6262 0.0000 0.0000
0.0000 4.6262 0.0000
0.0000 0.0000 5.3190
In Co Ru Pb
1 2 1 1
Direct
0.0000 0.0000 0.0000
0.0000 0.5000 0.5000
0.5000 0.0000 0.5000
0.5000 0.5000 0.0000
0.0000 0.0000 0.5000
```

## Properties
symmetry = P4/mmm (123)
formation energy from the elements = 2097 meV per atom

Entry 14:
Computed, not measured: a geometry-optimized InCo2SbPb structure at the PBEsol level of DFT.

Structure (POSCAR):
```
InCo2SbPb
1.0
4.6858 0.0000 0.0000
0.0000 4.6858 0.0000
0.0000 0.0000 5.8535
In Co Sb Pb
1 2 1 1
Direct
0.0000 0.0000 0.0000
0.0000 0.5000 0.5000
0.5000 0.0000 0.5000
0.5000 0.5000 0.5000
0.5000 0.5000 0.0000
```

## Properties
symmetry = P4/mmm (123)
uncorrected formation energy = 1010 meV/atom

Entry 15:
Computed, not measured: a geometry-optimized PrInCo2 structure at the PBEsol level of DFT.

Structure (POSCAR):
```
PrInCo2
1.0
5.0816 0.0000 0.0000
0.0000 3.9810 0.0000
0.0000 0.0000 7.2252
Pr In Co
2 2 4
Direct
0.2500 0.0000 0.2111
0.7500 0.0000 0.7889
0.2500 0.5000 0.8326
0.7500 0.5000 0.1674
0.0000 0.5000 0.5000
0.2500 0.0000 0.5797
0.5000 0.5000 0.5000
0.7500 0.0000 0.4203
```

## Properties
symmetry = Pmma (51)
formation energy from the elements = -200 meV per atom

Entry 16:
Computed, not measured: a geometry-optimized PrIn5Co structure at the PBEsol level of DFT.

Structure (POSCAR):
```
PrIn5Co
1.0
4.5445 0.0000 0.0000
0.0000 4.5445 0.0000
0.0000 0.0000 7.4984
Pr In Co
1 5 1
Direct
0.0000 0.0000 0.0000
0.0000 0.5000 0.3105
0.0000 0.5000 0.6895
0.5000 0.0000 0.3105
0.5000 0.0000 0.6895
0.5000 0.5000 0.0000
0.0000 0.0000 0.5000
```

## Properties
symmetry = P4/mmm (123)
formation energy from the elements = -330 meV per atom

Entry 17:
Computed, not measured: a geometry-optimized InCo3Pt structure at the PBEsol level of DFT.

Structure (POSCAR):
```
InCo3Pt
1.0
4.5447 0.0000 0.0000
0.0000 4.5447 0.0000
0.0000 0.0000 4.5447
In Co Pt
1 3 1
Direct
0.0000 0.0000 0.0000
0.0000 0.5000 0.5000
0.5000 0.0000 0.5000
0.5000 0.5000 0.0000
0.5000 0.5000 0.5000
```

## Properties
symmetry = Pm-3m (221)
formation energy from the elements = 1172 meV per atom

Entry 18:
Computed, not measured: a geometry-optimized InCoTePt2 structure at the PBEsol level of DFT.

Structure (POSCAR):
```
InCoTePt2
1.0
4.8781 0.0000 0.0000
0.0000 4.8781 0.0000
0.0000 0.0000 5.3907
In Co Te Pt
1 1 1 2
Direct
0.0000 0.0000 0.0000
0.5000 0.5000 0.5000
0.0000 0.0000 0.5000
0.0000 0.5000 0.0000
0.5000 0.0000 0.0000
```

## Properties
symmetry = P4/mmm (123)
uncorrected formation energy = 1592 meV/atom

Entry 19:
Computed, not measured: a geometry-optimized RbIn3Co structure at the PBEsol level of DFT.

Structure (POSCAR):
```
RbIn3Co
1.0
5.0083 0.0000 0.0000
0.0000 5.0083 0.0000
0.0000 0.0000 5.0083
Rb In Co
1 3 1
Direct
0.0000 0.0000 0.0000
0.0000 0.5000 0.5000
0.5000 0.0000 0.5000
0.5000 0.5000 0.0000
0.5000 0.5000 0.5000
```

## Properties
symmetry = Pm-3m (221)
formation energy from the elements = -37 meV per atom

Entry 20:
Computed, not measured: a geometry-optimized Rb3InCo structure at the PBEsol level of DFT.

Structure (POSCAR):
```
Rb3InCo
1.0
6.8302 0.0000 0.0000
0.0000 6.8302 0.0000
0.0000 0.0000 6.8302
Rb In Co
3 1 1
Direct
0.0000 0.0000 0.5000
0.0000 0.5000 0.0000
0.5000 0.0000 0.0000
0.0000 0.0000 0.0000
0.5000 0.5000 0.5000
```

## Properties
symmetry = Pm-3m (221)
formation energy from the elements = 1051 meV per atom